[1]
# CaLa2Sb3Rh4

Crystalline CaLa2Sb3Rh4 at its relaxed geometry (GGA-PBE, the Alexandria database).

Calculated values
Formation energy (no corrections) in eV per atom: -0.837

Lattice parameters (Å, degrees): 4.409 4.409 11.532 90.00 90.00 90.00
Fractional coordinates of all 10 atoms:
Ca1 0.000 0.000 0.000
La1 0.000 0.500 0.738
La2 0.500 0.000 0.262
Sb1 0.000 0.500 0.373
Sb2 0.500 0.000 0.627
Sb3 0.500 0.500 0.000
Rh1 0.000 0.000 0.500
Rh2 0.000 0.500 0.150
Rh3 0.500 0.000 0.850
Rh4 0.500 0.500 0.500



[2]
# Pr2PuTh

Crystalline Pr2PuTh at its relaxed geometry (GGA-PBE, the Alexandria database).

Calculated values
Energy of formation from the pure elements in eV per atom: 0.164
Distance to the lowest polymorph of the same formula in meV/atom: 0

Lattice parameters (Å, degrees): 3.587 3.587 10.316 90.00 90.00 90.00
Fractional coordinates of all 4 atoms:
Pr1 0.000 0.000 0.248
Pr2 0.000 0.000 0.752
Pu1 0.500 0.500 0.500
Th1 0.500 0.500 0.000



[3]
# FeCo2Mo

Crystalline FeCo2Mo at its relaxed geometry (GGA-PBE, the Alexandria database).

Calculated values
Energy of formation from the pure elements in eV per atom: 0.557
Distance to the lowest polymorph of the same formula in meV/atom: 541

Lattice parameters (Å, degrees): 8.783 8.783 8.783 157.22 157.22 32.44
Fractional coordinates of all 8 atoms:
Fe1 0.000 0.000 0.000
Fe2 0.750 0.250 0.500
Co1 0.099 0.625 0.974
Co2 0.375 0.349 0.474
Co3 0.651 0.125 0.026
Co4 0.875 0.901 0.526
Mo1 0.250 0.750 0.500
Mo2 0.500 0.500 0.000



[4]
# ReSb2Pb

Crystalline ReSb2Pb at its relaxed geometry (GGA-PBE, the Alexandria database).

Calculated values
Formation energy (no corrections) in eV per atom: 0.551

Lattice parameters (Å, degrees): 3.226 3.226 10.542 90.00 90.00 116.65
Fractional coordinates of all 4 atoms:
Re1 0.000 0.000 0.000
Sb1 0.500 0.500 0.201
Sb2 0.500 0.500 0.799
Pb1 0.000 0.000 0.500



[5]
# KNa2LiSb

Crystalline KNa2LiSb at its relaxed geometry (GGA-PBE, the Alexandria database).

Calculated values
Formation energy (no corrections) in eV per atom: -0.180
Distance to the lowest polymorph of the same formula in meV/atom: 57

Lattice parameters (Å, degrees): 5.669 5.669 5.101 90.00 90.00 90.00
Fractional coordinates of all 5 atoms:
K1 0.000 0.000 0.000
Na1 0.000 0.500 0.500
Na2 0.500 0.000 0.500
Li1 0.500 0.500 0.500
Sb1 0.500 0.500 0.000



[6]
# Ag2TeCl

Crystalline Ag2TeCl at its relaxed geometry (GGA-PBE, the Alexandria database).

Calculated values
Formation energy (no corrections) in eV per atom: -0.193
Distance to the lowest polymorph of the same formula in meV/atom: 0

Lattice parameters (Å, degrees): 7.498 7.498 7.498 30.32 30.32 30.32
Fractional coordinates of all 4 atoms:
Ag1 0.250 0.250 0.250
Ag2 0.750 0.750 0.750
Te1 0.500 0.500 0.500
Cl1 0.000 0.000 0.000



[7]
# KBa2Te2O6

Crystalline KBa2Te2O6 at its relaxed geometry (GGA-PBE, the Alexandria database).

Calculated values
Formation energy (no corrections) in eV per atom: -1.693

Lattice parameters (Å, degrees): 7.696 7.696 7.696 46.23 46.23 46.23
Fractional coordinates of all 11 atoms:
K1 0.000 0.000 0.000
Ba1 0.201 0.201 0.201
Ba2 0.799 0.799 0.799
Te1 0.390 0.390 0.390
Te2 0.610 0.610 0.610
O1 0.245 0.728 0.728
O2 0.272 0.272 0.755
O3 0.272 0.755 0.272
O4 0.728 0.245 0.728
O5 0.728 0.728 0.245
O6 0.755 0.272 0.272



[8]
# Sc2Tl5I12

Crystalline Sc2Tl5I12 at its relaxed geometry (GGA-PBE, the Alexandria database).

Calculated values
Formation energy (no corrections) in eV per atom: -0.821

Lattice parameters (Å, degrees): 10.357 10.357 11.033 107.60 107.60 49.04
Fractional coordinates of all 19 atoms:
Sc1 0.248 0.752 0.000
Sc2 0.752 0.248 0.000
Tl1 0.183 0.183 0.825
Tl2 0.217 0.217 0.365
Tl3 0.500 0.500 0.500
Tl4 0.783 0.783 0.635
Tl5 0.817 0.817 0.175
I1 0.008 0.008 0.190
I2 0.085 0.596 0.921
I3 0.112 0.628 0.445
I4 0.372 0.888 0.555
I5 0.404 0.915 0.079
I6 0.495 0.495 0.817
I7 0.505 0.505 0.183
I8 0.596 0.085 0.921
I9 0.628 0.112 0.445
I10 0.888 0.372 0.555
I11 0.915 0.404 0.079
I12 0.992 0.992 0.810



| no. | N(E_F) (states/eV/f.u.) | uncorrected energy (eV/cell) |
| --- | --- | --- |
| 1 | 6.0 | -62.004 |
| 2 | 10.8 | -30.656 |
| 3 | 6.4 | -62.556 |
| 4 | 3.6 | -22.197 |
| 5 | 2.3 | -10.672 |
| 6 | 2.1 | -11.464 |
| 7 | 4.5 | -59.593 |
| 8 | 4.8 | -58.692 |